A geometry-optimized PaIrAu structure, computed with GGA-PBE.

Cell lengths 4.5610, 4.5610, 22.5630 Å; angles 90.00, 90.00, 120.00 degrees
Space group R-3m (No. 166, hexagonal axes)
Inequivalent atoms, fractional coordinates:
Pa: 0.0000 0.0000 0.0816 (multiplicity 6)
Ir: 0.0000 0.0000 0.2004 (multiplicity 6)
Au: 0.0000 0.0000 0.3320 (multiplicity 6)

Computed properties:
- energy (eV/cell) = -136.1
- V (A^3/atom) = 22.6
- energy relative to the elements (eV per atom) = -0.35
- offset from the most stable computed form (eV/atom) = 0.150
- Fermi-level density of states (states/eV/cell) = 12.74